(P)
A plane-wave DFT calculation with GGA-PBE was carried out for crystalline CoHPb3 at its relaxed geometry.

```
CoHPb3
1.0
-2.382 -1.438 -3.884
3.872 -2.362 -1.500
-1.469 -3.895 2.343
Pb H Co
3 1 1
Cartesian
1.936 -1.181 -0.750
-0.735 -1.948 1.172
-1.191 -0.719 -1.942
0.000 0.000 0.000
0.011 -3.848 -1.520
```

Output
* volume: 21.8 Å³ per atom
* density: 10.380 g/cm³

---

(Q)
A plane-wave DFT calculation with GGA-PBE was carried out for crystalline CoHPb3 at its relaxed geometry.

```
CoHPb3
1.0
5.063 0.000 0.000
0.000 5.063 0.000
0.000 0.000 5.063
Pb H Co
3 1 1
Cartesian
0.000 2.531 0.000
0.000 0.000 2.531
2.531 0.000 0.000
2.531 2.531 2.531
0.000 0.000 0.000
```

Output
* volume: 26.0 Å³ per atom
* density: 8.721 g/cm³

---

Which of them is most stable? Easy: (Q).

---

(P)
A plane-wave DFT calculation with GGA-PBE was carried out for crystalline CoH2Pb at its relaxed geometry.

```
CoH2Pb
1.0
3.761 -1.401 0.104
1.690 -0.953 3.514
0.684 -3.847 0.920
Pb H Co
1 2 1
Cartesian
3.067 -3.101 2.270
1.534 -1.550 1.135
4.601 -4.651 3.404
0.000 0.000 0.000
```

Output
* volume: 11.4 Å³ per atom
* density: 9.734 g/cm³

---

(Q)
A plane-wave DFT calculation with GGA-PBE was carried out for crystalline CoH2Pb at its relaxed geometry.

```
CoH2Pb
1.0
4.611 0.000 0.000
0.000 4.611 0.000
2.305 2.305 4.437
Pb H Co
2 4 2
Cartesian
0.000 0.000 0.000
4.611 2.305 2.219
2.295 1.153 1.109
2.315 3.458 1.109
3.458 4.621 3.328
5.763 4.601 3.328
2.305 2.305 0.000
2.305 4.611 2.219
```

Output
* volume: 11.8 Å³ per atom
* density: 9.441 g/cm³

---

Which of them is most stable? Easy: (Q).

---

(P)
A plane-wave DFT calculation with GGA-PBE was carried out for crystalline Co2HPb at its relaxed geometry.

```
Co2HPb
1.0
-2.176 -3.736 2.736
2.158 -3.493 -3.053
3.063 -3.723 2.137
Pb H Co
2 2 4
Cartesian
0.000 0.000 0.000
0.439 -5.537 2.357
-0.009 -3.614 -0.159
2.606 -5.415 -0.537
0.116 -2.945 1.308
1.402 -4.338 -0.477
2.728 -6.211 0.866
1.844 -8.409 1.944
```

Output
* volume: 12.6 Å³ per atom
* density: 10.782 g/cm³

---

(Q)
A plane-wave DFT calculation with GGA-PBE was carried out for crystalline Co2HPb at its relaxed geometry.

```
Co2HPb
1.0
0.173 -2.467 3.377
-2.334 -3.469 0.179
1.820 -3.761 -0.247
Pb H Co
1 1 2
Cartesian
-0.171 -4.849 1.654
0.000 0.000 0.000
-0.085 -2.424 0.827
-0.256 -7.273 2.481
```

Output
* volume: 13.0 Å³ per atom
* density: 10.446 g/cm³

---

Which of them is most stable? Easy: (P).

---

(P)
A plane-wave DFT calculation with GGA-PBE was carried out for crystalline CoH2Pd at its relaxed geometry.

```
CoH2Pd
1.0
-3.442 -0.301 2.188
-0.881 -3.529 -1.870
-0.191 -3.904 2.985
H Co Pd
4 2 2
Cartesian
-2.199 -1.596 1.810
-1.139 -3.229 -0.079
-1.793 -4.477 2.297
-3.897 -6.166 2.576
-2.161 -1.915 0.159
-1.616 -4.674 0.636
0.000 0.000 0.000
-2.897 -3.060 2.666
```

Output
* volume: 8.3 Å³ per atom
* density: 8.354 g/cm³

---

(Q)
A plane-wave DFT calculation with GGA-PBE was carried out for crystalline CoH2Pd at its relaxed geometry.

```
CoH2Pd
1.0
0.000 2.558 2.558
2.558 0.000 2.558
2.558 2.558 0.000
H Co Pd
2 1 1
Cartesian
1.279 1.279 1.279
3.837 3.837 3.837
0.000 0.000 0.000
2.558 2.558 2.558
```

Output
* volume: 8.4 Å³ per atom
* density: 8.302 g/cm³

---

Which of them is most stable? Easy: (P).

---

(P)
A plane-wave DFT calculation with GGA-PBE was carried out for crystalline CoH2Pd at its relaxed geometry.

```
CoH2Pd
1.0
2.772 0.000 0.000
1.386 2.401 0.000
1.386 0.800 4.572
H Co Pd
2 1 1
Cartesian
4.158 2.401 3.734
1.386 0.800 0.838
0.000 0.000 0.000
2.772 1.600 2.286
```

Output
* volume: 7.6 Å³ per atom
* density: 9.135 g/cm³

---

(Q)
A plane-wave DFT calculation with GGA-PBE was carried out for crystalline CoH2Pd at its relaxed geometry.

```
CoH2Pd
1.0
2.725 0.000 0.000
1.362 2.360 0.000
1.362 0.787 4.909
Co H Pd
1 2 1
Cartesian
4.087 2.360 4.869
1.362 0.787 4.062
1.362 0.787 0.792
2.725 1.573 2.549
```

Output
* volume: 7.9 Å³ per atom
* density: 8.805 g/cm³

---

Which of them is most stable? Easy: (P).

---

(P)
A plane-wave DFT calculation with GGA-PBE was carried out for crystalline CoHPd3 at its relaxed geometry.

```
CoHPd3
1.0
3.939 0.000 0.000
0.000 3.939 0.000
0.000 0.000 3.939
H Co Pd
1 1 3
Cartesian
0.000 0.000 0.000
1.969 1.969 1.969
0.000 1.969 0.000
0.000 0.000 1.969
1.969 0.000 0.000
```

Output
* volume: 12.2 Å³ per atom
* density: 10.307 g/cm³

---

(Q)
A plane-wave DFT calculation with GGA-PBE was carried out for crystalline CoHPd3 at its relaxed geometry.

```
CoHPd3
1.0
4.590 0.000 0.000
0.000 4.590 0.000
0.000 0.000 4.590
H Co Pd
1 1 3
Cartesian
2.295 2.295 2.295
0.000 0.000 0.000
0.000 2.295 0.000
0.000 0.000 2.295
2.295 0.000 0.000
```

Output
* volume: 19.3 Å³ per atom
* density: 6.510 g/cm³

---

Which of them is most stable? Easy: (P).

---

(P)
A plane-wave DFT calculation with GGA-PBE was carried out for crystalline CoHPd2Pt at its relaxed geometry.

```
CoHPd2Pt
1.0
-2.980 2.544 0.301
-1.596 -2.205 2.834
1.993 2.016 2.691
H Co Pd Pt
1 1 2 1
Cartesian
0.000 0.000 0.000
0.997 1.008 1.346
-0.798 -1.103 1.417
-1.490 1.272 0.151
-1.291 1.178 2.913
```

Output
* volume: 12.1 Å³ per atom
* density: 12.868 g/cm³

---

(Q)
A plane-wave DFT calculation with GGA-PBE was carried out for crystalline CoHPd2Pt at its relaxed geometry.

```
CoHPd2Pt
1.0
3.950 0.000 0.000
0.000 3.950 0.000
0.000 0.000 3.942
H Co Pd Pt
1 1 2 1
Cartesian
0.000 0.000 0.000
1.975 1.975 1.971
0.000 1.975 0.000
1.975 0.000 0.000
0.000 0.000 1.971
```

Output
* volume: 12.3 Å³ per atom
* density: 12.633 g/cm³

---

Which of them is most stable? Easy: (P).

---

(P)
A plane-wave DFT calculation with GGA-PBE was carried out for crystalline CoHPd2Rh at its relaxed geometry.

```
CoHPd2Rh
1.0
-0.771 -1.337 3.570
3.600 -1.455 0.233
1.263 3.369 1.535
Co Rh Pd H
1 1 2 1
Cartesian
0.631 1.685 0.767
2.046 0.288 2.669
1.800 -0.728 0.116
-0.386 -0.669 1.785
0.000 0.000 0.000
```

Output
* volume: 11.8 Å³ per atom
* density: 10.539 g/cm³

---

(Q)
A plane-wave DFT calculation with GGA-PBE was carried out for crystalline CoHPd2Rh at its relaxed geometry.

```
CoHPd2Rh
1.0
-3.562 -1.540 -0.443
1.582 -3.209 -1.566
0.255 -1.617 3.570
Co Rh Pd H
1 1 2 1
Cartesian
-0.862 -3.183 0.780
0.128 -0.808 1.785
0.791 -1.604 -0.783
-1.781 -0.770 -0.221
0.000 0.000 0.000
```

Output
* volume: 12.0 Å³ per atom
* density: 10.415 g/cm³

---

Which of them is most stable? Easy: (Q).

---

(P)
A plane-wave DFT calculation with GGA-PBE was carried out for crystalline CoHPd2Ru at its relaxed geometry.

```
CoHPd2Ru
1.0
-1.147 3.688 0.346
0.238 -0.288 3.860
3.781 1.190 -0.144
Ru Co Pd H
1 1 2 1
Cartesian
1.891 0.595 -0.072
1.436 2.295 2.031
0.119 -0.144 1.930
-0.574 1.844 0.173
0.000 0.000 0.000
```

Output
* volume: 11.9 Å³ per atom
* density: 10.408 g/cm³

---

(Q)
A plane-wave DFT calculation with GGA-PBE was carried out for crystalline CoHPd2Ru at its relaxed geometry.

```
CoHPd2Ru
1.0
3.870 0.000 0.000
0.000 3.870 0.000
0.000 0.000 3.973
Ru Co Pd H
1 1 2 1
Cartesian
1.935 1.935 1.986
0.000 0.000 1.986
0.000 1.935 0.000
1.935 0.000 0.000
0.000 0.000 0.000
```

Output
* volume: 11.9 Å³ per atom
* density: 10.436 g/cm³

---

Which of them is most stable? Easy: (P).

---

(P)
A plane-wave DFT calculation with GGA-PBE was carried out for crystalline ScCo2HPd at its relaxed geometry.

```
ScCo2HPd
1.0
3.812 0.000 0.000
0.000 3.812 0.000
0.000 0.000 3.954
Sc H Co Pd
1 1 2 1
Cartesian
1.906 1.906 1.977
0.000 0.000 0.000
0.000 1.906 0.000
1.906 0.000 0.000
0.000 0.000 1.977
```

Output
* volume: 11.5 Å³ per atom
* density: 7.809 g/cm³

---

(Q)
A plane-wave DFT calculation with GGA-PBE was carried out for crystalline ScCo2HPd at its relaxed geometry.

```
ScCo2HPd
1.0
3.735 0.000 0.000
0.000 3.735 0.000
0.000 0.000 4.104
Sc H Co Pd
1 1 2 1
Cartesian
0.000 0.000 2.052
0.000 0.000 0.000
0.000 1.868 0.000
1.868 0.000 0.000
1.868 1.868 2.052
```

Output
* volume: 11.5 Å³ per atom
* density: 7.838 g/cm³

---

Which of them is most stable? Easy: (Q).

---

(P)
A plane-wave DFT calculation with GGA-PBE was carried out for crystalline Ti2CoHPd at its relaxed geometry.

```
Ti2CoHPd
1.0
3.978 0.000 0.000
0.000 3.978 0.000
0.000 0.000 3.793
H Co Pd Ti
1 1 1 2
Cartesian
0.000 0.000 0.000
1.989 1.989 1.896
0.000 0.000 1.896
0.000 1.989 0.000
1.989 0.000 0.000
```

Output
* volume: 12.0 Å³ per atom
* density: 7.251 g/cm³

---

(Q)
A plane-wave DFT calculation with GGA-PBE was carried out for crystalline Ti2CoHPd at its relaxed geometry.

```
Ti2CoHPd
1.0
4.069 0.000 0.000
0.000 4.069 0.000
0.000 0.000 3.596
H Co Pd Ti
1 1 1 2
Cartesian
0.000 0.000 0.000
0.000 0.000 1.798
2.035 2.035 1.798
0.000 2.035 0.000
2.035 0.000 0.000
```

Output
* volume: 11.9 Å³ per atom
* density: 7.308 g/cm³

---

Which of them is most stable? Easy: (Q).

---

(P)
A plane-wave DFT calculation with GGA-PBE was carried out for crystalline VCo2HPd at its relaxed geometry.

```
VCo2HPd
1.0
3.688 0.000 0.000
0.000 3.688 0.000
0.000 0.000 3.769
H Co Pd V
1 2 1 1
Cartesian
0.000 0.000 0.000
0.000 1.844 0.000
1.844 0.000 0.000
1.844 1.844 1.885
0.000 0.000 1.885
```

Output
* volume: 10.3 Å³ per atom
* density: 8.949 g/cm³

---

(Q)
A plane-wave DFT calculation with GGA-PBE was carried out for crystalline VCo2HPd at its relaxed geometry.

```
VCo2HPd
1.0
3.727 0.000 0.000
0.000 3.727 0.000
0.000 0.000 3.722
H Co Pd V
1 2 1 1
Cartesian
0.000 0.000 0.000
0.000 1.863 0.000
1.863 0.000 0.000
0.000 0.000 1.861
1.863 1.863 1.861
```

Output
* volume: 10.3 Å³ per atom
* density: 8.874 g/cm³

---

Which of them is most stable? Easy: (P).